Entry from OQMD: LiThGe after structural relaxation (PBE).

```
data_LiThGe
_chemical_formula_sum 'Li4 Th4 Ge4'
_cell_length_a 6.389
_cell_length_b 6.389
_cell_length_c 6.389
_cell_angle_alpha 90.00
_cell_angle_beta 90.00
_cell_angle_gamma 90.00
_space_group_name_H-M_alt 'F -4 3 m'
_space_group_IT_number 216
_space_group_name_Hall 'F -4 2 3'
loop_
_atom_site_label
_atom_site_type_symbol
_atom_site_fract_x
_atom_site_fract_y
_atom_site_fract_z
Li1 Li 0.000 0.000 0.000
Th1 Th 0.250 0.250 0.250
Ge1 Ge 0.250 0.250 0.750
```

# ZnCdFeHg (PBE, relaxed)
data_ZnCdFeHg
_chemical_formula_sum 'Zn4 Cd4 Fe4 Hg4'
_cell_length_a 6.548
_cell_length_b 6.548
_cell_length_c 6.548
_cell_angle_alpha 90.00
_cell_angle_beta 90.00
_cell_angle_gamma 90.00
_space_group_name_H-M_alt 'F -4 3 m'
_space_group_IT_number 216
_space_group_name_Hall 'F -4 2 3'
loop_
_atom_site_label
_atom_site_type_symbol
_atom_site_fract_x
_atom_site_fract_y
_atom_site_fract_z
Zn1 Zn 0.000 0.000 0.000
Cd1 Cd 0.000 0.000 0.500
Fe1 Fe 0.250 0.250 0.250
Hg1 Hg 0.250 0.250 0.750
# Energy relative to the elements ... 366 meV/atom
# Excess energy over the best structure of this formula in the dataset ... 0.015 eV per atom

# TcHgAsO (PBE, relaxed)
data_TcHgAsO
_chemical_formula_sum 'Tc2 Hg2 As2 O2'
_cell_length_a 3.115
_cell_length_b 6.989
_cell_length_c 7.323
_cell_angle_alpha 90.00
_cell_angle_beta 90.00
_cell_angle_gamma 90.00
_space_group_name_H-M_alt 'P m c 21'
_space_group_IT_number 26
loop_
_space_group_symop_operation_xyz
'x,y,z'
'-x,-y,z+1/2'
'-x,y,z'
'x,-y,z+1/2'
loop_
_atom_site_label
_atom_site_type_symbol
_atom_site_fract_x
_atom_site_fract_y
_atom_site_fract_z
Tc1 Tc 0.000 0.046 0.000
Hg1 Hg 0.500 0.318 0.553
As1 As 0.500 0.306 0.939
O1 O 0.000 0.038 0.258
# Excess energy over the best structure of this formula in the dataset ... 0.000 eV per atom

Going through the records in order, we get final energy values of -4.9092 -2.3258 -5.4373 eV/atom.
Going through the records in order, we get calculated density values of 7.938 10.274 8.115 g/cm3.